(1)
{
  "formula": "Tb2TlIn",
  "functional": "PBE",
  "state": "optimized geometry",
  "lattice_angstrom": [[1.870, 1.080, 9.672], [-1.870, 1.080, 9.672], [0.000, -2.160, 9.672]],
  "species": ["Tb", "Tb", "Tl", "In"],
  "frac_coords": [[0.250, 0.250, 0.250], [0.750, 0.750, 0.750], [0.500, 0.500, 0.500], [0.000, 0.000, 0.000]],
  "final_energy_ev_per_atom": -3.889,
  "e_form_ev_per_atom": -0.298
}

(2)
{
  "formula": "Tb4Tl5In",
  "functional": "PBE",
  "state": "optimized geometry",
  "lattice_angstrom": [[8.770, -2.477, 0.000], [8.770, 2.477, 0.000], [-1.849, 0.000, 6.315]],
  "species": ["Tb", "Tb", "Tb", "Tb", "Tl", "Tl", "Tl", "Tl", "Tl", "In"],
  "frac_coords": [[0.086, 0.086, 0.334], [0.301, 0.301, 0.881], [0.699, 0.699, 0.119], [0.914, 0.914, 0.666], [0.106, 0.106, 0.844], [0.296, 0.296, 0.389], [0.500, 0.500, 0.500], [0.704, 0.704, 0.611], [0.894, 0.894, 0.156], [0.500, 0.500, 0.000]],
  "relative_energy_mev_per_atom": 0,
  "final_energy_ev_per_atom": -3.628,
  "e_form_ev_per_atom": -0.319
}

(3)
{
  "formula": "TbTmTlIn",
  "functional": "PBE",
  "state": "optimized geometry",
  "lattice_angstrom": [[0.000, 3.764, 3.764], [3.764, 0.000, 3.764], [3.764, 3.764, 0.000]],
  "species": ["Tb", "Tm", "Tl", "In"],
  "frac_coords": [[0.000, 0.000, 0.000], [0.500, 0.500, 0.500], [0.750, 0.750, 0.750], [0.250, 0.250, 0.250]],
  "final_energy_ev_per_atom": -3.938,
  "e_form_ev_per_atom": -0.386
}

(4)
{
  "formula": "Tb3Tm3TlIn2",
  "functional": "PBE",
  "state": "optimized geometry",
  "lattice_angstrom": [[8.911, 0.000, 0.000], [-4.456, 7.717, 0.000], [0.000, 0.000, 3.722]],
  "species": ["Tb", "Tb", "Tb", "Tm", "Tm", "Tm", "Tl", "In", "In"],
  "frac_coords": [[0.000, 0.710, 0.000], [0.290, 0.290, 0.000], [0.710, 0.000, 0.000], [0.000, 0.380, 0.500], [0.380, 0.000, 0.500], [0.620, 0.620, 0.500], [0.000, 0.000, 0.500], [0.333, 0.667, 0.000], [0.667, 0.333, 0.000]],
  "final_energy_ev_per_atom": -4.183,
  "e_form_ev_per_atom": -0.278
}

(5)
{
  "formula": "TbTm5TlIn2",
  "functional": "PBE",
  "state": "optimized geometry",
  "lattice_angstrom": [[-4.222, 4.222, 7.144], [4.222, -4.222, 7.144], [4.222, 4.222, -7.144]],
  "species": ["Tb", "Tb", "Tm", "Tm", "Tm", "Tm", "Tm", "Tm", "Tm", "Tm", "Tm", "Tm", "Tl", "Tl", "In", "In", "In", "In"],
  "frac_coords": [[0.250, 0.750, 0.500], [0.750, 0.250, 0.500], [0.000, 0.000, 0.000], [0.077, 0.577, 0.923], [0.154, 0.077, 0.500], [0.346, 0.846, 0.923], [0.423, 0.346, 0.500], [0.500, 0.500, 0.000], [0.577, 0.654, 0.500], [0.654, 0.154, 0.077], [0.846, 0.923, 0.500], [0.923, 0.423, 0.077], [0.250, 0.250, 0.000], [0.750, 0.750, 0.000], [0.111, 0.389, 0.500], [0.389, 0.889, 0.278], [0.611, 0.111, 0.722], [0.889, 0.611, 0.500]],
  "final_energy_ev_per_atom": -3.878,
  "e_form_ev_per_atom": -0.008
}

(6)
{
  "formula": "Tb3Y3Tl2In",
  "functional": "PBE",
  "state": "optimized geometry",
  "lattice_angstrom": [[8.929, 0.000, 0.000], [-4.464, 7.732, 0.000], [0.000, 0.000, 3.804]],
  "species": ["Tb", "Tb", "Tb", "Y", "Y", "Y", "Tl", "Tl", "In"],
  "frac_coords": [[0.000, 0.380, 0.000], [0.380, 0.000, 0.000], [0.620, 0.620, 0.000], [0.000, 0.713, 0.500], [0.287, 0.287, 0.500], [0.713, 0.000, 0.500], [0.333, 0.667, 0.500], [0.667, 0.333, 0.500], [0.000, 0.000, 0.000]],
  "final_energy_ev_per_atom": -4.819,
  "e_form_ev_per_atom": -0.291
}

(7)
{
  "formula": "TbYTlIn",
  "functional": "PBE",
  "state": "optimized geometry",
  "lattice_angstrom": [[0.000, 3.788, 3.788], [3.788, 0.000, 3.788], [3.788, 3.788, 0.000]],
  "species": ["Tb", "Y", "Tl", "In"],
  "frac_coords": [[0.000, 0.000, 0.000], [0.500, 0.500, 0.500], [0.250, 0.250, 0.250], [0.750, 0.750, 0.750]],
  "final_energy_ev_per_atom": -4.476,
  "e_form_ev_per_atom": -0.426
}

(8)
{
  "formula": "TbZrTlIn",
  "functional": "PBE",
  "state": "optimized geometry",
  "lattice_angstrom": [[0.000, 3.678, 3.678], [3.678, 0.000, 3.678], [3.678, 3.678, 0.000]],
  "species": ["Tb", "Zr", "Tl", "In"],
  "frac_coords": [[0.000, 0.000, 0.000], [0.500, 0.500, 0.500], [0.250, 0.250, 0.250], [0.750, 0.750, 0.750]],
  "final_energy_ev_per_atom": -4.758,
  "e_form_ev_per_atom": -0.187
}

(9)
{
  "formula": "TbTmIn",
  "functional": "PBE",
  "state": "optimized geometry",
  "lattice_angstrom": [[5.206, 0.000, 0.000], [-2.603, 4.508, 0.000], [0.000, 0.000, 3.617]],
  "species": ["Tb", "Tm", "In"],
  "frac_coords": [[0.000, 0.000, 0.000], [0.667, 0.333, 0.554], [0.333, 0.667, 0.330]],
  "relative_energy_mev_per_atom": 88,
  "final_energy_ev_per_atom": -4.170,
  "e_form_ev_per_atom": -0.223
}

(10)
{
  "formula": "Tb2Tm4In",
  "functional": "PBE",
  "state": "optimized geometry",
  "lattice_angstrom": [[5.781, 0.000, 0.000], [0.000, 6.562, 0.000], [-2.750, 0.000, 10.989]],
  "species": ["Tb", "Tb", "Tb", "Tb", "Tm", "Tm", "Tm", "Tm", "Tm", "Tm", "Tm", "Tm", "In", "In"],
  "frac_coords": [[0.062, 0.250, 0.479], [0.339, 0.750, 0.073], [0.661, 0.250, 0.927], [0.938, 0.750, 0.521], [0.158, 0.007, 0.788], [0.158, 0.493, 0.788], [0.214, 0.250, 0.065], [0.373, 0.750, 0.372], [0.627, 0.250, 0.628], [0.786, 0.750, 0.935], [0.842, 0.507, 0.212], [0.842, 0.993, 0.212], [0.481, 0.250, 0.339], [0.519, 0.750, 0.661]],
  "relative_energy_mev_per_atom": 12,
  "final_energy_ev_per_atom": -4.291,
  "e_form_ev_per_atom": -0.022
}

(11)
{
  "formula": "Tb8Tm2In3",
  "functional": "PBE",
  "state": "optimized geometry",
  "lattice_angstrom": [[3.203, 1.849, 11.600], [-3.203, 1.849, 11.600], [0.000, -3.699, 11.600]],
  "species": ["Tb", "Tb", "Tb", "Tb", "Tb", "Tb", "Tb", "Tb", "Tm", "Tm", "In", "In", "In"],
  "frac_coords": [[0.219, 0.219, 0.720], [0.219, 0.720, 0.219], [0.224, 0.224, 0.224], [0.280, 0.781, 0.781], [0.720, 0.219, 0.219], [0.776, 0.776, 0.776], [0.781, 0.280, 0.781], [0.781, 0.781, 0.280], [0.135, 0.135, 0.135], [0.865, 0.865, 0.865], [0.311, 0.311, 0.311], [0.500, 0.500, 0.500], [0.689, 0.689, 0.689]],
  "final_energy_ev_per_atom": -4.035,
  "e_form_ev_per_atom": 0.134
}

(12)
{
  "formula": "Tb3Tm3In",
  "functional": "PBE",
  "state": "optimized geometry",
  "lattice_angstrom": [[9.312, 0.000, 0.000], [-4.656, 8.064, 0.000], [0.000, 0.000, 5.524]],
  "species": ["Tb", "Tb", "Tb", "Tb", "Tb", "Tb", "Tm", "Tm", "Tm", "Tm", "Tm", "Tm", "In", "In"],
  "frac_coords": [[0.065, 0.820, 0.250], [0.180, 0.245, 0.250], [0.245, 0.065, 0.750], [0.755, 0.935, 0.250], [0.820, 0.755, 0.750], [0.935, 0.180, 0.750], [0.105, 0.623, 0.750], [0.377, 0.483, 0.750], [0.483, 0.105, 0.250], [0.517, 0.895, 0.750], [0.623, 0.517, 0.250], [0.895, 0.377, 0.250], [0.333, 0.667, 0.250], [0.667, 0.333, 0.750]],
  "relative_energy_mev_per_atom": 0,
  "final_energy_ev_per_atom": -4.390,
  "e_form_ev_per_atom": -0.098
}

(13)
{
  "formula": "Tb12Tm2In",
  "functional": "PBE",
  "state": "optimized geometry",
  "lattice_angstrom": [[3.578, 0.000, 0.000], [0.000, 5.406, 0.000], [-0.099, 0.000, 24.537]],
  "species": ["Tb", "Tb", "Tb", "Tb", "Tb", "Tb", "Tb", "Tb", "Tb", "Tb", "Tb", "Tb", "Tm", "Tm", "In"],
  "frac_coords": [[0.213, 0.000, 0.062], [0.246, 0.000, 0.331], [0.247, 0.500, 0.424], [0.249, 0.000, 0.200], [0.253, 0.000, 0.555], [0.263, 0.500, 0.870], [0.737, 0.500, 0.130], [0.747, 0.000, 0.445], [0.751, 0.000, 0.800], [0.753, 0.500, 0.576], [0.754, 0.000, 0.669], [0.787, 0.000, 0.938], [0.255, 0.500, 0.722], [0.745, 0.500, 0.278], [0.500, 0.500, 0.000]],
  "final_energy_ev_per_atom": -4.418,
  "e_form_ev_per_atom": 0.065
}

(14)
{
  "formula": "TbTm8In2",
  "functional": "PBE",
  "state": "optimized geometry",
  "lattice_angstrom": [[4.375, -7.501, 0.000], [4.375, 7.501, 0.000], [-2.341, 0.000, 5.022]],
  "species": ["Tb", "Tm", "Tm", "Tm", "Tm", "Tm", "Tm", "Tm", "Tm", "In", "In"],
  "frac_coords": [[0.000, 0.000, 0.000], [0.095, 0.324, 0.625], [0.215, 0.785, 0.000], [0.324, 0.095, 0.625], [0.405, 0.405, 0.203], [0.595, 0.595, 0.797], [0.676, 0.905, 0.375], [0.785, 0.215, 0.000], [0.905, 0.676, 0.375], [0.307, 0.693, 0.500], [0.693, 0.307, 0.500]],
  "final_energy_ev_per_atom": -4.194,
  "e_form_ev_per_atom": -0.023
}

(15)
{
  "formula": "TbTm2In2",
  "functional": "PBE",
  "state": "optimized geometry",
  "lattice_angstrom": [[3.722, 0.000, 0.000], [0.000, 5.319, 0.000], [-1.864, 0.000, 13.728]],
  "species": ["Tb", "Tb", "Tm", "Tm", "Tm", "Tm", "In", "In", "In", "In"],
  "frac_coords": [[0.148, 0.250, 0.298], [0.852, 0.750, 0.702], [0.048, 0.750, 0.096], [0.238, 0.750, 0.475], [0.762, 0.250, 0.525], [0.952, 0.250, 0.904], [0.357, 0.250, 0.712], [0.451, 0.750, 0.902], [0.549, 0.250, 0.098], [0.643, 0.750, 0.288]],
  "relative_energy_mev_per_atom": 0,
  "final_energy_ev_per_atom": -4.178,
  "e_form_ev_per_atom": -0.368
}

(16)
{
  "formula": "Tb3TmIn4",
  "functional": "PBE",
  "state": "optimized geometry",
  "lattice_angstrom": [[-1.725, 3.416, 9.685], [1.725, -3.416, 9.685], [1.725, 3.416, -9.685]],
  "species": ["Tb", "Tb", "Tb", "Tm", "In", "In", "In", "In"],
  "frac_coords": [[0.000, 0.000, 0.000], [0.274, 0.774, 0.500], [0.726, 0.226, 0.500], [0.500, 0.500, 0.000], [0.097, 0.374, 0.723], [0.349, 0.626, 0.723], [0.651, 0.374, 0.277], [0.903, 0.626, 0.277]],
  "relative_energy_mev_per_atom": 157,
  "final_energy_ev_per_atom": -3.972,
  "e_form_ev_per_atom": -0.307
}

(17)
{
  "formula": "Tb4Tm2In",
  "functional": "PBE",
  "state": "optimized geometry",
  "lattice_angstrom": [[0.000, 10.885, 3.942], [5.052, 0.000, 3.942], [5.052, 10.885, 0.000]],
  "species": ["Tb", "Tb", "Tb", "Tb", "Tb", "Tb", "Tb", "Tb", "Tm", "Tm", "Tm", "Tm", "In", "In"],
  "frac_coords": [[0.067, 0.933, 0.096], [0.154, 0.346, 0.183], [0.265, 0.573, 0.502], [0.346, 0.154, 0.317], [0.573, 0.265, 0.660], [0.590, 0.748, 0.677], [0.748, 0.590, 0.985], [0.933, 0.067, 0.904], [0.127, 0.531, 0.897], [0.353, 0.806, 0.123], [0.531, 0.127, 0.444], [0.806, 0.353, 0.719], [0.655, 0.655, 0.345], [0.905, 0.905, 0.595]],
  "relative_energy_mev_per_atom": 0,
  "final_energy_ev_per_atom": -4.351,
  "e_form_ev_per_atom": -0.036
}

(18)
{
  "formula": "Tb3Tm2In2",
  "functional": "PBE",
  "state": "optimized geometry",
  "lattice_angstrom": [[2.483, -11.645, 0.000], [2.483, 11.645, 0.000], [0.000, 0.000, 3.453]],
  "species": ["Tb", "Tb", "Tb", "Tm", "Tm", "In", "In"],
  "frac_coords": [[0.000, 0.000, 0.000], [0.145, 0.855, 0.000], [0.855, 0.145, 0.000], [0.286, 0.714, 0.500], [0.714, 0.286, 0.500], [0.429, 0.571, 0.500], [0.571, 0.429, 0.500]],
  "relative_energy_mev_per_atom": 0,
  "final_energy_ev_per_atom": -4.205,
  "e_form_ev_per_atom": -0.161
}

(19)
{
  "formula": "Tb8TmIn6",
  "functional": "PBE",
  "state": "optimized geometry",
  "lattice_angstrom": [[4.521, 2.610, 6.499], [-4.521, 2.610, 6.499], [0.000, -5.220, 6.499]],
  "species": ["Tb", "Tb", "Tb", "Tb", "Tb", "Tb", "Tb", "Tb", "Tm", "In", "In", "In", "In", "In", "In"],
  "frac_coords": [[0.054, 0.387, 0.720], [0.166, 0.166, 0.166], [0.280, 0.946, 0.613], [0.387, 0.720, 0.054], [0.613, 0.280, 0.946], [0.720, 0.054, 0.387], [0.834, 0.834, 0.834], [0.946, 0.613, 0.280], [0.500, 0.500, 0.500], [0.111, 0.773, 0.442], [0.227, 0.558, 0.889], [0.442, 0.111, 0.773], [0.558, 0.889, 0.227], [0.773, 0.442, 0.111], [0.889, 0.227, 0.558]],
  "final_energy_ev_per_atom": -4.080,
  "e_form_ev_per_atom": -0.217
}

(20)
{
  "formula": "Tb5TmIn2",
  "functional": "PBE",
  "state": "optimized geometry",
  "lattice_angstrom": [[-1.763, 5.312, 6.338], [1.763, -5.312, 6.338], [1.763, 5.312, -6.338]],
  "species": ["Tb", "Tb", "Tb", "Tb", "Tb", "Tm", "In", "In"],
  "frac_coords": [[0.000, 0.000, 0.000], [0.094, 0.366, 0.728], [0.361, 0.634, 0.728], [0.639, 0.366, 0.272], [0.906, 0.634, 0.272], [0.500, 0.000, 0.500], [0.263, 0.263, 0.000], [0.737, 0.737, 0.000]],
  "final_energy_ev_per_atom": -4.292,
  "e_form_ev_per_atom": -0.155
}

Ordered total moment results: 0.00; 0.00; 0.00; 0.65; 0.00; 0.06; 0.00; 0.43; 0.00; 0.00; 2.22; 0.00; 0.00; 0.00; 0.00; 0.00; 0.00; 0.47; 0.00; 0.00; unit μB/f.u..